[1]
The following is a DFT calculation (PBE-GGA) of an optimized crystal structure of RbSiTe2N.

Cell: 6.291 6.291 5.022 Å, 90.00 90.00 90.00°
Site moments in Bohr magnetons follow the coordinates.
Fractional coordinates of all 5 atoms:
Rb1 0.000 0.000 0.000  0.05
Si1 0.500 0.500 0.500  0.00
Te1 0.000 0.500 0.000  0.01
Te2 0.500 0.000 0.000  0.01
N1 0.000 0.000 0.500  1.71

For the uncorrected formation energy, the calculation gives 1.88 eV per atom. Its raw total energy is -11.60 eV for the cell shown.

[2]
The following is a DFT calculation (PBE-GGA) of an optimized crystal structure of AcPm4PrSm2.

Cell: 9.754 9.754 12.108 Å, 128.51 128.51 87.77°
Fractional coordinates of all 16 atoms:
Sm1 0.500 0.500 0.000
Sm2 0.500 0.000 0.000
Sm3 0.000 0.000 0.500
Sm4 0.500 0.000 0.500
Pm1 0.803 0.821 0.560
Pm2 0.262 0.766 0.514
Pm3 0.197 0.179 0.440
Pm4 0.321 0.303 0.060
Pm5 0.266 0.762 0.014
Pm6 0.738 0.234 0.486
Pm7 0.734 0.238 0.986
Pm8 0.679 0.697 0.940
Pr1 0.000 0.000 0.000
Pr2 0.500 0.500 0.500
Ac1 0.000 0.500 0.500
Ac2 0.000 0.500 0.000

The calculation puts the formation energy at 3.06 eV per formula unit. Its raw total energy is -68.55 eV for the cell shown.

[3]
The following is a DFT calculation (PBE-GGA) of an optimized crystal structure of Pr2PdO.

Cell: 3.546 3.546 8.636 Å, 78.15 78.15 60.00°
Fractional coordinates of all 4 atoms:
Pr1 0.108 0.108 0.676
Pr2 0.892 0.892 0.324
O1 0.500 0.500 0.500
Pd1 0.000 0.000 0.000

For the uncorrected formation energy, the calculation gives -1.13 eV per atom. Its raw total energy is -24.24 eV for the cell shown.

[4]
The following is a DFT calculation (PBE-GGA) of an optimized crystal structure of Sr5Zn6.

Cell: 4.508 4.584 16.278 Å, 98.09 90.00 90.00°
Fractional coordinates of all 11 atoms:
Zn1 0.500 0.540 0.080
Zn2 0.500 0.460 0.920
Zn3 0.500 0.082 0.165
Zn4 0.000 0.728 0.457
Zn5 0.000 0.272 0.543
Zn6 0.500 0.918 0.835
Sr1 0.000 0.386 0.772
Sr2 0.500 0.195 0.390
Sr3 0.000 0.000 0.000
Sr4 0.500 0.805 0.610
Sr5 0.000 0.614 0.228

The calculation puts the formation energy at -2.32 eV per formula unit. Its raw total energy is -18.37 eV for the cell shown.

[5]
The following is a DFT calculation (PBE-GGA) of an optimized crystal structure of Be2InGeO6.

Cell: 5.601 6.537 6.537 Å, 83.46 71.16 71.16°
Site moments in Bohr magnetons follow the coordinates.
Fractional coordinates of all 20 atoms:
O1 0.689 0.690 0.583  0.37
O2 0.196 0.972 0.779  0.02
O3 0.696 0.779 0.972  0.02
O4 0.811 0.417 0.310  0.37
O5 0.304 0.221 0.028  0.02
O6 0.111 0.630 0.164  0.04
O7 0.804 0.028 0.221  0.02
O8 0.389 0.836 0.370  0.04
O9 0.611 0.164 0.630  0.04
O10 0.311 0.310 0.417  0.37
O11 0.189 0.583 0.690  0.37
O12 0.889 0.370 0.836  0.04
In1 0.750 0.102 0.898  0.00
In2 0.250 0.898 0.102  0.00
Ge1 0.250 0.266 0.734  -0.01
Ge2 0.750 0.734 0.266  -0.01
Be1 0.351 0.765 0.617  -0.01
Be2 0.149 0.383 0.235  -0.01
Be3 0.851 0.617 0.765  -0.01
Be4 0.649 0.235 0.383  -0.01

For the uncorrected formation energy, the calculation gives -1.81 eV per atom. Its raw total energy is -125.39 eV for the cell shown.

[6]
The following is a DFT calculation (PBE-GGA) of an optimized crystal structure of SrTa2TiO8.

Cell: 5.132 5.132 6.978 Å, 81.51 81.51 76.08°
Fractional coordinates of all 12 atoms:
Ti1 0.000 0.000 0.000
Sr1 0.000 0.000 0.500
O1 0.775 0.219 0.206
O2 0.225 0.781 0.794
O3 0.664 0.664 0.488
O4 0.758 0.758 0.059
O5 0.219 0.775 0.206
O6 0.336 0.336 0.512
O7 0.242 0.242 0.941
O8 0.781 0.225 0.794
Ta1 0.571 0.571 0.261
Ta2 0.429 0.429 0.739

For the uncorrected formation energy, the calculation gives -2.88 eV per atom. Its raw total energy is -107.48 eV for the cell shown.

[7]
The following is a DFT calculation (PBE-GGA) of an optimized crystal structure of Pm5ZnBi3.

Cell: 6.585 9.606 9.606 Å, 120.00 90.00 90.00°
Fractional coordinates of all 18 atoms:
Bi1 0.250 0.000 0.618
Bi2 0.750 0.618 0.618
Bi3 0.750 0.000 0.382
Bi4 0.750 0.382 0.000
Bi5 0.250 0.382 0.382
Bi6 0.250 0.618 0.000
Pm1 0.250 0.738 0.738
Pm2 0.500 0.333 0.667
Pm3 0.250 0.000 0.262
Pm4 0.750 0.262 0.262
Pm5 0.000 0.333 0.667
Pm6 0.250 0.262 0.000
Pm7 0.750 0.000 0.738
Pm8 0.500 0.667 0.333
Pm9 0.750 0.738 0.000
Pm10 0.000 0.667 0.333
Zn1 0.000 0.000 0.000
Zn2 0.500 0.000 0.000

The calculation puts the formation energy at -6.58 eV per formula unit. Its raw total energy is -86.49 eV for the cell shown.

[8]
The following is a DFT calculation (PBE-GGA) of an optimized crystal structure of LiAc2BiO5.

Cell: 3.786 7.618 10.385 Å, 90.00 90.00 104.39°
Fractional coordinates of all 18 atoms:
O1 0.317 0.634 0.698
O2 0.982 0.964 0.567
O3 0.287 0.573 0.360
O4 0.713 0.427 0.860
O5 0.683 0.366 0.198
O6 0.480 0.960 0.297
O7 0.354 0.708 0.015
O8 0.646 0.292 0.515
O9 0.018 0.036 0.067
O10 0.520 0.040 0.797
Li1 0.251 0.503 0.915
Li2 0.749 0.497 0.415
Ac1 0.144 0.289 0.670
Ac2 0.895 0.789 0.807
Ac3 0.105 0.211 0.307
Ac4 0.856 0.711 0.170
Bi1 0.414 0.828 0.494
Bi2 0.586 0.172 0.994

For the uncorrected formation energy, the calculation gives -2.40 eV per atom. Its raw total energy is -120.80 eV for the cell shown.

[9]
The following is a DFT calculation (PBE-GGA) of an optimized crystal structure of CaW3Br.

Cell: 4.795 4.795 4.795 Å, 90.00 90.00 90.00°
Fractional coordinates of all 5 atoms:
W1 0.500 0.000 0.000
W2 0.000 0.000 0.500
W3 0.000 0.500 0.000
Ca1 0.000 0.000 0.000
Br1 0.500 0.500 0.500

For the uncorrected formation energy, the calculation gives 3.54 eV per atom. Its raw total energy is -24.81 eV for the cell shown.

[10]
The following is a DFT calculation (PBE-GGA) of an optimized crystal structure of ZrTlCl.

Cell: 4.712 4.712 4.712 Å, 60.00 60.00 60.00°
Fractional coordinates of all 3 atoms:
Tl1 0.000 0.000 0.000
Cl1 0.750 0.750 0.750
Zr1 0.500 0.500 0.500

For the uncorrected formation energy, the calculation gives 0.24 eV per atom. Its raw total energy is -12.03 eV for the cell shown.

[11]
The following is a DFT calculation (PBE-GGA) of an optimized crystal structure of LiTm2Hg.

Cell: 3.758 5.070 5.070 Å, 90.00 90.00 90.00°
Fractional coordinates of all 4 atoms:
Hg1 0.500 0.500 0.500
Li1 0.500 0.000 0.000
Tm1 0.000 0.500 0.000
Tm2 0.000 0.000 0.500

The calculation puts the formation energy at -0.92 eV per formula unit. Its raw total energy is -12.08 eV for the cell shown.

[12]
The following is a DFT calculation (PBE-GGA) of an optimized crystal structure of AgGeSbI2.

Cell: 5.586 5.586 5.481 Å, 90.00 90.00 90.00°
Fractional coordinates of all 5 atoms:
I1 0.500 0.000 0.000
I2 0.000 0.500 0.000
Sb1 0.000 0.000 0.500
Ag1 0.000 0.000 0.000
Ge1 0.500 0.500 0.500

For the uncorrected formation energy, the calculation gives 0.62 eV per atom. Its raw total energy is -11.62 eV for the cell shown.

> Which of these has the lowest raw total energy?

Be2InGeO6

Copy entry 6 word for word.
The following is a DFT calculation (PBE-GGA) of an optimized crystal structure of SrTa2TiO8.

Cell: 5.132 5.132 6.978 Å, 81.51 81.51 76.08°
Fractional coordinates of all 12 atoms:
Ti1 0.000 0.000 0.000
Sr1 0.000 0.000 0.500
O1 0.775 0.219 0.206
O2 0.225 0.781 0.794
O3 0.664 0.664 0.488
O4 0.758 0.758 0.059
O5 0.219 0.775 0.206
O6 0.336 0.336 0.512
O7 0.242 0.242 0.941
O8 0.781 0.225 0.794
Ta1 0.571 0.571 0.261
Ta2 0.429 0.429 0.739

For the uncorrected formation energy, the calculation gives -2.88 eV per atom. Its raw total energy is -107.48 eV for the cell shown.

> Look up the raw total energy of the second one.

-68.55 eV for the cell shown

> Which value of raw total energy does entry 7 give?

-86.49 eV for the cell shown